## RbMg4Pb2 (PBE-GGA)

Data for a relaxed RbMg4Pb2 crystal.

abc: 9.268 9.268 4.834
angles: 90.00 90.00 90.00
Sites, in units of the cell vectors:
Rb (0.000, 0.000, 0.000)
Rb (0.500, 0.500, 0.500)
Mg (0.087, 0.342, 0.500)
Mg (0.158, 0.587, 0.000)
Mg (0.342, 0.087, 0.500)
Mg (0.413, 0.842, 0.000)
Mg (0.587, 0.158, 0.000)
Mg (0.658, 0.913, 0.500)
Mg (0.842, 0.413, 0.000)
Mg (0.913, 0.658, 0.500)
Pb (0.222, 0.778, 0.500)
Pb (0.278, 0.278, 0.000)
Pb (0.722, 0.722, 0.000)
Pb (0.778, 0.222, 0.500)

## Properties
Final energy, eV per cell: -30.3
M_tot, μB per formula unit: 0.0